# CrCuAu2O8 | Alexandria | PBE with a Hubbard U | relaxed
data_CrCuAu2O8
_cell_length_a 6.337
_cell_length_b 6.337
_cell_length_c 6.933
_cell_angle_alpha 90.00
_cell_angle_beta 90.00
_cell_angle_gamma 90.00
_symmetry_space_group_name_H-M 'I -4 m 2'
_symmetry_Int_Tables_number 119
_symmetry_space_group_name_Hall 'I -4 -2'
loop_
_atom_site_label
_atom_site_type_symbol
_atom_site_fract_x
_atom_site_fract_y
_atom_site_fract_z
Cr1 Cr 0.000 0.000 0.000
Cu1 Cu 0.000 0.500 0.750
Au1 Au 0.000 0.000 0.500
Au2 Au 0.000 0.500 0.250
O1 O 0.000 0.176 0.745
O2 O 0.000 0.312 0.023
# **Crystal system**: tetragonal
# **DFT total energy**: -4.7849 eV/atom
# **Volume**: 278.4 Å³ per cell